[1]
## CeScIrAu (PBE)

Data for CeScIrAu after structural relaxation.

Cell lengths 4.910, 4.910, 4.910 Å; angles 60.00, 60.00, 60.00 degrees
Last column: magnetic moment on the atom in μB.
Element x y z (fractional)
Au 0.500 0.500 0.500  0.00
Ce 0.750 0.750 0.750  0.46
Ir 0.000 0.000 0.000  -0.04
Sc 0.250 0.250 0.250  0.05

Calculated values
- Uncorrected energy: -6.761 eV per atom
- Crystal system: cubic

[2]
## Ce2Si4Ir3Au (PBE)

Data for Ce2Si4Ir3Au after structural relaxation.

Cell lengths 4.214, 4.214, 9.959 Å; angles 90.00, 90.00, 90.00 degrees
Element x y z (fractional)
Ir 0.000 0.000 0.500
Ir 0.500 0.000 0.877
Ce 0.500 0.000 0.241
Au 0.500 0.500 0.500
Ir 0.000 0.500 0.123
Si 0.500 0.500 0.000
Ce 0.000 0.500 0.759
Si 0.000 0.000 0.000
Si 0.500 0.000 0.639
Si 0.000 0.500 0.361

Calculated values
- Energy relative to the elements, uncorrected: -0.89 eV per atom
- Crystal system: tetragonal

[3]
## CeSmIrAu (PBE)

Data for CeSmIrAu after structural relaxation.

Cell lengths 5.077, 5.077, 5.077 Å; angles 60.00, 60.00, 60.00 degrees
Last column: magnetic moment on the atom in μB.
Element x y z (fractional)
Ir 0.500 0.500 0.500  -0.04
Ce 0.750 0.750 0.750  0.60
Sm 0.250 0.250 0.250  0.04
Au 0.000 0.000 0.000  0.01

Calculated values
- Uncorrected energy: -6.353 eV per atom
- Crystal system: cubic

[4]
## SrCeIrAu (PBE)

Data for SrCeIrAu after structural relaxation.

Cell lengths 5.146, 5.146, 5.146 Å; angles 60.00, 60.00, 60.00 degrees
Last column: magnetic moment on the atom in μB.
Element x y z (fractional)
Ir 0.500 0.500 0.500  -0.05
Sr 0.750 0.750 0.750  0.02
Au 0.000 0.000 0.000  0.02
Ce 0.250 0.250 0.250  0.76

Calculated values
- Uncorrected energy: -5.395 eV per atom
- Crystal system: cubic

[5]
## TbCeIrAu (PBE)

Data for TbCeIrAu after structural relaxation.

Cell lengths 5.038, 5.038, 5.038 Å; angles 60.00, 60.00, 60.00 degrees
Last column: magnetic moment on the atom in μB.
Element x y z (fractional)
Tb 0.750 0.750 0.750  0.03
Ir 0.500 0.500 0.500  -0.04
Au 0.000 0.000 0.000  0.00
Ce 0.250 0.250 0.250  0.54

Calculated values
- Uncorrected energy: -6.372 eV per atom
- Crystal system: cubic

[6]
## CeYIrAu (PBE)

Data for CeYIrAu after structural relaxation.

Cell lengths 5.035, 5.035, 5.035 Å; angles 60.00, 60.00, 60.00 degrees
Last column: magnetic moment on the atom in μB.
Element x y z (fractional)
Y 0.750 0.750 0.750  0.02
Au 0.000 0.000 0.000  0.00
Ir 0.500 0.500 0.500  -0.04
Ce 0.250 0.250 0.250  0.53

Calculated values
- Uncorrected energy: -6.828 eV per atom
- Crystal system: cubic

[7]
## Ce2ZnIrAu (PBE)

Data for Ce2ZnIrAu after structural relaxation.

Cell lengths 4.143, 7.852, 7.458 Å; angles 110.79, 90.00, 90.00 degrees
Last column: magnetic moment on the atom in μB.
Element x y z (fractional)
Au 0.250 0.682 0.321  0.01
Zn 0.250 0.547 0.643  0.00
Ir 0.750 0.122 0.113  -0.05
Ce 0.750 0.880 0.637  0.41
Au 0.750 0.318 0.679  0.01
Ce 0.750 0.710 0.021  0.51
Ce 0.250 0.290 0.979  0.51
Zn 0.750 0.453 0.357  0.00
Ir 0.250 0.878 0.887  -0.05
Ce 0.250 0.120 0.363  0.41

Calculated values
- Uncorrected energy: -5.682 eV per atom
- Crystal system: monoclinic

[8]
## CeZrIrAu (PBE)

Data for CeZrIrAu after structural relaxation.

Cell lengths 4.922, 4.922, 4.922 Å; angles 60.00, 60.00, 60.00 degrees
Last column: magnetic moment on the atom in μB.
Element x y z (fractional)
Zr 0.250 0.250 0.250  0.11
Ce 0.750 0.750 0.750  0.48
Ir 0.500 0.500 0.500  -0.05
Au 0.000 0.000 0.000  0.00

Calculated values
- Uncorrected energy: -7.165 eV per atom
- Crystal system: cubic